The following is a DFT calculation (PBE) of a geometry-optimized La4Sm5Sc structure.

Cell: 3.5708 11.6535 12.1044 Å, 136.16 98.48 90.00°
Positions (direct):
Sm: 0.5000 0.5000 0.0000
La: 0.0912 0.3807 0.1824
La: 0.9088 0.6193 0.8176
La: 0.6036 0.9149 0.2071
La: 0.3964 0.0851 0.7929
Sm: 0.7963 0.7015 0.5927
Sm: 0.1925 0.7980 0.3849
Sc: 0.5000 0.0000 0.0000
Sm: 0.8075 0.2020 0.6151
Sm: 0.2037 0.2985 0.4073

As for the space group: No. 12. The value obtained for the calculated density is 6.59 Mg/m³. Its formation energy is 78 meV/atom. For the total magnetization, the calculation gives 0.00 μB/f.u.

The following is a DFT calculation (PBE) of a geometry-optimized Tb5PrYTh2 structure.

Cell: 8.9175 8.9175 9.9215 Å, 116.71 116.71 90.00°
Positions (direct):
Tb: 0.5718 0.6549 0.7267
Th: 0.6187 0.1187 0.0000
Th: 0.1187 0.3813 0.0000
Tb: 0.8451 0.9282 0.2733
Tb: 0.1549 0.0718 0.7267
Th: 0.8813 0.6187 0.0000
Tb: 0.6549 0.1549 0.7267
Tb: 0.9282 0.4282 0.2733
Tb: 0.0718 0.5718 0.7267
Th: 0.3813 0.8813 0.0000
Pr: 0.2500 0.2500 0.5000
Y: 0.7500 0.2500 0.5000
Y: 0.2500 0.7500 0.5000
Pr: 0.7500 0.7500 0.5000
Tb: 0.5000 0.5000 0.0000
Tb: 0.3451 0.8451 0.2733
Tb: 0.0000 0.0000 0.0000
Tb: 0.4282 0.3451 0.2733

As for the space group: No. 140. The value obtained for the calculated density is 8.12 Mg/m³. Its formation energy is 327 meV/atom. For the total magnetization, the calculation gives 0.00 μB/f.u.

The following is a DFT calculation (PBE) of a geometry-optimized AcCd2SnPd4 structure.

Cell: 4.8697 4.8697 8.4274 Å, 73.21 73.21 60.00°
Positions (direct):
Cd: 0.2496 0.2496 0.2513
Pd: 0.1319 0.1319 0.6043
Sn: 0.5000 0.5000 0.5000
Pd: 0.6112 0.6112 0.1665
Ac: 0.0000 0.0000 0.0000
Pd: 0.3888 0.3888 0.8335
Cd: 0.7504 0.7504 0.7487
Pd: 0.8681 0.8681 0.3957

As for the space group: No. 166. The value obtained for the calculated density is 10.14 Mg/m³. Its formation energy is -496 meV/atom. For the total magnetization, the calculation gives 0.00 μB/f.u.